This record from the Alexandria database describes a relaxed CaHgRu crystal. The functional is PBEsol.

abc: 3.147 3.147 6.964
angles: 90.00 90.00 120.00
Positions (direct):
Ru: 0.667 0.333 0.333
Ca: 0.000 0.000 0.019
Hg: 0.333 0.667 0.647

**Energy relative to the lowest polymorph listed for this composition**: 0.644 eV/f.u.
**Final energy**: -3.84 eV/atom